[1]
The following is a DFT calculation (PBE) of an optimized crystal structure of TlHgPt2.

## Properties
final energy	-0.264	Ry per atom
SG	C2/m
DFT formation energy	0.093	eV per atom
total magnetic moment	0.0	μB/f.u.
N(E_F)	1.2	states/eV/f.u.

Lattice parameters (Å, degrees): 5.0450 5.0450 4.3419 114.48 114.48 50.03
Fractional coordinates of all 4 atoms:
1 Tl 0.0000 0.0000 0.0000
2 Hg 0.5000 0.5000 0.5000
3 Pt 0.2505 0.2505 0.7499
4 Pt 0.7495 0.7495 0.2501

***

[2]
The following is a DFT calculation (PBE) of an optimized crystal structure of Tl6HgPt.

## Properties
final energy	-0.188	Ry per atom
SG	Amm2
DFT formation energy	0.013	eV per atom
total magnetic moment	0.0	μB/f.u.
N(E_F)	4.6	states/eV/f.u.

Lattice parameters (Å, degrees): 4.1151 7.5742 7.5742 79.09 90.00 90.00
Fractional coordinates of all 8 atoms:
1 Tl 0.0000 0.0000 0.0000
2 Tl 0.0000 0.0989 0.4591
3 Tl 0.0000 0.4591 0.0989
4 Tl 0.5000 0.2841 0.7561
5 Tl 0.5000 0.7561 0.2841
6 Tl 0.5000 0.7763 0.7763
7 Hg 0.0000 0.5628 0.5628
8 Pt 0.5000 0.1735 0.1735

***

[3]
The following is a DFT calculation (PBE) of an optimized crystal structure of TlHg3Pt.

## Properties
final energy	-0.069	Ry per atom
SG	Pm-3m
DFT formation energy	0.926	eV per atom
total magnetic moment	0.7	μB/f.u.
N(E_F)	5.7	states/eV/f.u.

Lattice parameters (Å, degrees): 5.6334 5.6334 5.6334 90.00 90.00 90.00
Fractional coordinates of all 5 atoms:
1 Tl 0.0000 0.0000 0.0000
2 Hg 0.0000 0.0000 0.5000
3 Hg 0.0000 0.5000 0.0000
4 Hg 0.5000 0.0000 0.0000
5 Pt 0.5000 0.5000 0.5000

***

[4]
The following is a DFT calculation (PBE) of an optimized crystal structure of Tl2HgPt.

## Properties
final energy	-0.204	Ry per atom
SG	I-42d
DFT formation energy	-0.005	eV per atom
total magnetic moment	0.0	μB/f.u.
N(E_F)	1.7	states/eV/f.u.

Lattice parameters (Å, degrees): 7.1000 7.1000 7.1000 98.42 98.42 135.00
Fractional coordinates of all 8 atoms:
1 Tl 0.0249 0.1250 0.3999
2 Tl 0.3750 0.9751 0.1001
3 Tl 0.7251 0.6250 0.6001
4 Tl 0.8750 0.2749 0.8999
5 Hg 0.2500 0.7500 0.5000
6 Hg 0.5000 0.5000 0.0000
7 Pt 0.0000 0.0000 0.0000
8 Pt 0.7500 0.2500 0.5000

***

[5]
The following is a DFT calculation (PBE) of an optimized crystal structure of TlHgPt2.

## Properties
final energy	-0.266	Ry per atom
SG	Cm
DFT formation energy	0.072	eV per atom
total magnetic moment	0.0	μB/f.u.
N(E_F)	1.1	states/eV/f.u.

Lattice parameters (Å, degrees): 5.5931 5.5931 4.9391 104.04 104.04 31.04
Fractional coordinates of all 4 atoms:
1 Tl 0.0000 0.0000 0.0000
2 Hg 0.7929 0.7929 0.3907
3 Pt 0.2504 0.2504 0.8727
4 Pt 0.5453 0.5453 0.5161

***

[6]
The following is a DFT calculation (PBE) of an optimized crystal structure of TlHgPt2.

## Properties
final energy	-0.266	Ry per atom
SG	Pm
DFT formation energy	0.064	eV per atom
total magnetic moment	0.0	μB/f.u.
N(E_F)	1.7	states/eV/f.u.

Lattice parameters (Å, degrees): 3.0685 4.6494 5.6257 90.00 105.29 90.00
Fractional coordinates of all 4 atoms:
1 Tl 0.0000 0.0000 0.0000
2 Hg 0.7000 0.5000 0.4039
3 Pt 0.2566 0.0000 0.5226
4 Pt 0.4379 0.5000 0.8710

***

[7]
The following is a DFT calculation (PBE) of an optimized crystal structure of TlHg4Pt.

## Properties
final energy	-0.093	Ry per atom
SG	F-43m
DFT formation energy	0.338	eV per atom
total magnetic moment	0.0	μB/f.u.
N(E_F)	3.5	states/eV/f.u.

Lattice parameters (Å, degrees): 5.8997 5.8997 5.8997 60.00 60.00 60.00
Fractional coordinates of all 6 atoms:
1 Tl 0.0000 0.0000 0.0000
2 Hg 0.1275 0.6242 0.6242
3 Hg 0.6242 0.1275 0.6242
4 Hg 0.6242 0.6242 0.1275
5 Hg 0.6242 0.6242 0.6242
6 Pt 0.2500 0.2500 0.2500

***

[8]
The following is a DFT calculation (PBE) of an optimized crystal structure of TlHg2Pt.

## Properties
final energy	-0.162	Ry per atom
SG	Pm
DFT formation energy	0.047	eV per atom
total magnetic moment	0.0	μB/f.u.
N(E_F)	1.1	states/eV/f.u.

Lattice parameters (Å, degrees): 5.0520 4.2255 5.4080 90.00 106.78 90.00
Fractional coordinates of all 4 atoms:
1 Tl 0.0000 0.0000 0.0000
2 Hg 0.3467 0.5000 0.6741
3 Hg 0.7017 0.0000 0.4297
4 Pt 0.3674 0.5000 0.1777

***

[9]
The following is a DFT calculation (PBE) of an optimized crystal structure of Tl2HgPt.

## Properties
final energy	-0.195	Ry per atom
SG	R3m
DFT formation energy	0.116	eV per atom
total magnetic moment	0.0	μB/f.u.
N(E_F)	2.0	states/eV/f.u.

Lattice parameters (Å, degrees): 10.4086 10.4086 10.4086 18.30 18.30 18.30
Fractional coordinates of all 4 atoms:
1 Tl 0.0000 0.0000 0.0000
2 Tl 0.2345 0.2345 0.2345
3 Hg 0.7595 0.7595 0.7595
4 Pt 0.4974 0.4974 0.4974

***

[10]
The following is a DFT calculation (PBE) of an optimized crystal structure of TlHgPt2.

## Properties
final energy	-0.264	Ry per atom
SG	Cmmm
DFT formation energy	0.095	eV per atom
total magnetic moment	0.0	μB/f.u.
N(E_F)	1.9	states/eV/f.u.

Lattice parameters (Å, degrees): 4.6018 4.6018 3.6181 90.00 90.00 98.86
Fractional coordinates of all 4 atoms:
1 Tl 0.0000 0.0000 0.0000
2 Hg 0.5000 0.5000 0.0000
3 Pt 0.0000 0.5000 0.5000
4 Pt 0.5000 0.0000 0.5000

***

[11]
The following is a DFT calculation (PBE) of an optimized crystal structure of Tl2HgPt.

## Properties
final energy	-0.203	Ry per atom
SG	Pm
DFT formation energy	0.008	eV per atom
total magnetic moment	0.0	μB/f.u.
N(E_F)	1.3	states/eV/f.u.

Lattice parameters (Å, degrees): 4.2968 3.6428 6.9073 90.00 107.74 90.00
Fractional coordinates of all 4 atoms:
1 Tl 0.0000 0.0000 0.0000
2 Tl 0.3075 0.5000 0.6182
3 Hg 0.6961 0.0000 0.3924
4 Pt 0.5243 0.5000 0.0483

***

[12]
The following is a DFT calculation (PBE) of an optimized crystal structure of TlHg2Pt.

## Properties
final energy	-0.149	Ry per atom
SG	Cmmm
DFT formation energy	0.231	eV per atom
total magnetic moment	0.0	μB/f.u.
N(E_F)	1.1	states/eV/f.u.

Lattice parameters (Å, degrees): 5.4107 5.4107 3.1716 90.00 90.00 110.37
Fractional coordinates of all 4 atoms:
1 Tl 0.0000 0.0000 0.0000
2 Hg 0.0000 0.5000 0.5000
3 Hg 0.5000 0.0000 0.5000
4 Pt 0.5000 0.5000 0.0000